Record 1
{"formula": "ReRu2", "functional": "PBE", "state": "optimized geometry", "formation_energy_ev_per_atom": 0.0559, "total_energy_ev_per_atom": -10.28, "n_ef_per_ev_atom": 1.168, "de_polymorph_mev_per_atom": 133, "lattice_angstrom": [[1.927, -5.740, 0.000], [1.927, 5.740, 0.000], [0.000, 0.000, 3.872]], "species": ["Re", "Re", "Ru", "Ru", "Ru", "Ru"], "frac_coords": [[0.084, 0.916, 0.750], [0.916, 0.084, 0.250], [0.251, 0.749, 0.250], [0.417, 0.583, 0.750], [0.583, 0.417, 0.250], [0.749, 0.251, 0.750]]}


Record 2
{"formula": "Re5Ru2", "functional": "PBE", "state": "optimized geometry", "formation_energy_ev_per_atom": -0.0624, "total_energy_ev_per_atom": -11.60, "n_ef_per_ev_atom": 0.671, "lattice_angstrom": [[6.067, -2.392, 0.000], [6.067, 2.392, 0.000], [-0.541, 0.000, 7.058]], "species": ["Re", "Re", "Re", "Re", "Re", "Re", "Re", "Re", "Re", "Re", "Ru", "Ru", "Ru", "Ru"], "frac_coords": [[0.028, 0.693, 0.040], [0.115, 0.452, 0.675], [0.165, 0.835, 0.750], [0.307, 0.972, 0.460], [0.452, 0.115, 0.175], [0.548, 0.885, 0.825], [0.693, 0.028, 0.540], [0.835, 0.165, 0.250], [0.885, 0.548, 0.325], [0.972, 0.307, 0.960], [0.262, 0.596, 0.392], [0.404, 0.738, 0.108], [0.596, 0.262, 0.892], [0.738, 0.404, 0.608]]}


Record 3
{"formula": "Re5Ru3", "functional": "PBE", "state": "optimized geometry", "formation_energy_ev_per_atom": 0.3220, "total_energy_ev_per_atom": -10.94, "n_ef_per_ev_atom": 1.100, "de_polymorph_mev_per_atom": 285, "lattice_angstrom": [[7.609, 0.000, 0.000], [-3.804, 6.589, 0.000], [0.000, 0.000, 4.845]], "species": ["Re", "Re", "Re", "Re", "Re", "Re", "Re", "Re", "Re", "Re", "Ru", "Ru", "Ru", "Ru", "Ru", "Ru"], "frac_coords": [[0.000, 0.204, 0.250], [0.000, 0.796, 0.750], [0.204, 0.000, 0.250], [0.204, 0.204, 0.750], [0.333, 0.667, 0.000], [0.333, 0.667, 0.500], [0.667, 0.333, 0.000], [0.667, 0.333, 0.500], [0.796, 0.000, 0.750], [0.796, 0.796, 0.250], [0.000, 0.414, 0.750], [0.000, 0.586, 0.250], [0.414, 0.000, 0.750], [0.414, 0.414, 0.250], [0.586, 0.000, 0.250], [0.586, 0.586, 0.750]]}